1.
8
Lattice="6.227 0.000 0.000 -3.113 6.513 -0.073 0.000 3.038 5.435" Properties=species:S:1:pos:R:3 comment="ScSiCl2 (meta-GGA SCAN, PBEsol geometry)" e_above_lowest_polymorph_kj_per_mol_atoms=24.00 n_ef_per_ev_atom=0.6900 raw_formation_energy_ev_per_atom=-0.214 e_tot_ev_per_cell=-82.127 pbc="T T T"
Cl 1.557 1.795 0.281
Cl 4.670 3.739 3.759
Sc 3.113 5.535 4.040
Si 3.113 1.519 2.718
Cl -1.992 7.543 4.701
Sc 0.000 0.000 0.000
Si 0.000 4.016 1.322
Cl 1.992 6.024 1.983


2.
4
Lattice="3.273 0.000 0.000 1.637 2.835 0.000 1.637 0.945 9.223" Properties=species:S:1:pos:R:3 comment="ScSiCl2 (meta-GGA SCAN, PBEsol geometry)" e_above_lowest_polymorph_kj_per_mol_atoms=11.78 n_ef_per_ev_atom=0.4209 raw_formation_energy_ev_per_atom=-0.340 e_tot_ev_per_cell=-41.570 pbc="T T T"
Si 3.273 1.890 4.612
Sc 0.000 0.000 0.000
Cl 1.637 0.945 6.844
Cl 4.910 2.835 2.379


3.
5
Lattice="-2.633 -2.529 -3.348 -0.302 -3.828 3.128 -4.185 1.867 1.881" Properties=species:S:1:pos:R:3 comment="ScSnCl3 (meta-GGA SCAN, PBEsol geometry)" n_ef_per_ev_atom=0.9137 raw_formation_energy_ev_per_atom=-1.195 e_tot_ev_per_cell=-80.068 pbc="T T T"
Cl -1.316 -1.264 -1.674
Cl -0.151 -1.914 1.564
Cl -2.092 0.933 0.940
Sc 0.000 0.000 0.000
Sn -3.560 -2.245 0.830


4.
4
Lattice="3.710 0.007 0.000 -1.670 3.313 0.000 0.000 0.000 10.491" Properties=species:S:1:pos:R:3 comment="Sr2ScCl (meta-GGA SCAN, PBEsol geometry)" e_above_lowest_polymorph_kj_per_mol_atoms=20.96 n_ef_per_ev_atom=0.6816 raw_formation_energy_ev_per_atom=-0.509 e_tot_ev_per_cell=-68.803 pbc="T T T"
Sr 0.000 0.000 0.297
Sc 1.020 1.660 3.112
Cl 0.000 0.000 5.005
Sr 1.020 1.660 7.322


5.
5
Lattice="5.308 0.000 0.000 0.000 5.308 0.000 0.000 0.000 5.308" Properties=species:S:1:pos:R:3 comment="SrSc3Cl (meta-GGA SCAN, PBEsol geometry)" n_ef_per_ev_atom=1.0574 raw_formation_energy_ev_per_atom=1.375 e_tot_ev_per_cell=-66.087 pbc="T T T"
Sr 0.000 0.000 0.000
Sc 0.000 2.654 0.000
Cl 2.654 2.654 2.654
Sc 2.654 0.000 0.000
Sc 0.000 0.000 2.654


6.
4
Lattice="-1.009 3.512 -0.376 -2.853 -2.030 1.113 2.482 1.733 9.525" Properties=species:S:1:pos:R:3 comment="Sr2ScCl (meta-GGA SCAN, PBEsol geometry)" e_above_lowest_polymorph_kj_per_mol_atoms=4.01 n_ef_per_ev_atom=0.7502 raw_formation_energy_ev_per_atom=-0.685 e_tot_ev_per_cell=-69.506 pbc="T T T"
Sr 0.686 0.479 2.631
Sc -1.931 0.741 0.368
Sr 1.797 1.254 6.895
Cl -0.690 1.608 5.131